Entry 1:
DFT (GGA-PBE) results for an optimized crystal structure of YAg2Pb.

Properties
calculated volume = 23.648 Å³ per atom
DFT formation energy = -0.14 eV/atom
raw total energy = -0.151 Ha/atom
N(E_F) = 0.728 states/eV/atom
symmetry = No. 99

a = 3.5922 Å, b = 3.5922 Å, c = 7.3304 Å
α = 90.00°, β = 90.00°, γ = 90.01°
Last column: nearest neighbours and their distance in Å.
Sites, in units of the cell vectors:
Ag: 0.0000 0.0000 0.0253  4 Ag 2.92, 4 Y 3.11
Ag: 0.5000 0.5000 0.2219  4 Ag 2.92, 4 Pb 3.13, 1 Y 3.24
Pb: 0.0000 0.0000 0.4724  5 Ag 3.13-3.28, 4 Y 3.40
Y: 0.5000 0.5000 0.7803  5 Ag 3.11-3.24, 4 Pb 3.40


Entry 2:
DFT (GGA-PBE) results for an optimized crystal structure of YAgPb.

Properties
calculated volume = 25.030 Å³ per atom
DFT formation energy = -0.40 eV/atom
raw total energy = -0.174 Ha/atom
N(E_F) = 0.159 states/eV/atom
symmetry = No. 189

a = 7.5541 Å, b = 7.5541 Å, c = 4.5583 Å
α = 90.00°, β = 90.00°, γ = 120.00°
Last column: nearest neighbours and their distance in Å.
Sites, in units of the cell vectors:
Y: 0.5726 0.0000 0.5000  5 Pb 3.20-3.23, 2 Ag 3.36
Y: 0.4274 0.4274 0.5000  5 Pb 3.20-3.23, 2 Ag 3.36
Y: 0.0000 0.5726 0.5000  5 Pb 3.20-3.23, 2 Ag 3.36
Ag: 0.2464 0.0000 0.0000  4 Pb 2.90-2.94, 2 Ag 3.22
Ag: 0.7536 0.7536 0.0000  4 Pb 2.90-2.94, 2 Ag 3.22
Ag: 0.0000 0.2464 0.0000  4 Pb 2.90-2.94, 2 Ag 3.22
Pb: 0.0000 0.0000 0.5000  6 Ag 2.94, 3 Y 3.23
Pb: 0.3333 0.6667 0.0000  3 Ag 2.90, 6 Y 3.20
Pb: 0.6667 0.3333 0.0000  3 Ag 2.90, 6 Y 3.20


Entry 3:
DFT (GGA-PBE) results for an optimized crystal structure of YZrAgPb.

Properties
calculated volume = 23.877 Å³ per atom
DFT formation energy = -0.20 eV/atom
raw total energy = -0.206 Ha/atom
N(E_F) = 0.734 states/eV/atom
symmetry = No. 216

a = 5.1308 Å, b = 5.1308 Å, c = 5.1308 Å
α = 60.00°, β = 60.00°, γ = 60.00°
Last column: nearest neighbours and their distance in Å.
Sites, in units of the cell vectors:
Pb: 0.5000 0.5000 0.5000  4 Zr 3.14, 4 Y 3.14
Y: 0.2500 0.2500 0.2500  4 Pb 3.14, 4 Ag 3.14
Zr: 0.7500 0.7500 0.7500  4 Pb 3.14, 4 Ag 3.14
Ag: 0.0000 0.0000 0.0000  4 Y 3.14, 4 Zr 3.14


Entry 4:
DFT (GGA-PBE) results for an optimized crystal structure of Yb2AgPb.

Properties
calculated volume = 26.860 Å³ per atom
DFT formation energy = -0.49 eV/atom
raw total energy = -0.106 Ha/atom
N(E_F) = 7.417 states/eV/atom
symmetry = No. 225

a = 5.3361 Å, b = 5.3361 Å, c = 5.3361 Å
α = 60.00°, β = 60.00°, γ = 60.00°
Last column: nearest neighbours and their distance in Å.
Sites, in units of the cell vectors:
Pb: 0.0000 0.0000 0.0000  8 Yb 3.27
Yb: 0.2500 0.2500 0.2500  4 Pb 3.27, 4 Ag 3.27
Yb: 0.7500 0.7500 0.7500  4 Pb 3.27, 4 Ag 3.27
Ag: 0.5000 0.5000 0.5000  8 Yb 3.27


Entry 5:
DFT (GGA-PBE) results for an optimized crystal structure of Zn4Ag8Pb.

Properties
calculated volume = 18.056 Å³ per atom
DFT formation energy = -0.02 eV/atom
raw total energy = -0.090 Ha/atom
N(E_F) = 0.225 states/eV/atom
symmetry = No. 139

a = 5.2623 Å, b = 7.1784 Å, c = 7.1784 Å
α = 82.28°, β = 68.50°, γ = 68.50°
Last column: nearest neighbours and their distance in Å.
Sites, in units of the cell vectors:
Zn: 0.0000 0.0000 0.5000  2 Zn 2.63, 8 Ag 2.72-2.87
Zn: 0.5000 0.0000 0.5000  2 Zn 2.63, 8 Ag 2.72-2.87
Zn: 0.0000 0.5000 0.0000  2 Zn 2.63, 8 Ag 2.72-2.87
Zn: 0.5000 0.5000 0.0000  2 Zn 2.63, 8 Ag 2.72-2.87
Ag: 0.0000 0.3508 0.6492  5 Ag 2.82-3.02, 4 Zn 2.87
Ag: 0.0000 0.6492 0.3508  5 Ag 2.82-3.02, 4 Zn 2.87
Ag: 0.3508 0.6492 0.6492  5 Ag 2.82-3.02, 4 Zn 2.87
Ag: 0.6492 0.3508 0.3508  5 Ag 2.82-3.02, 4 Zn 2.87
Ag: 0.5000 0.7824 0.2176  4 Zn 2.72, 6 Ag 2.91-3.02
Ag: 0.5000 0.2176 0.7824  4 Zn 2.72, 6 Ag 2.91-3.02
Ag: 0.2824 0.2176 0.2176  4 Zn 2.72, 6 Ag 2.91-3.02
Ag: 0.7176 0.7824 0.7824  4 Zn 2.72, 6 Ag 2.91-3.02
Pb: 0.0000 0.0000 0.0000  12 Ag 3.31-3.34, 8 Zn 3.59


Entry 6:
DFT (GGA-PBE) results for an optimized crystal structure of ZnAgPb.

Properties
calculated volume = 22.575 Å³ per atom
DFT formation energy = 0.12 eV/atom
raw total energy = -0.092 Ha/atom
N(E_F) = 0.265 states/eV/atom
symmetry = No. 156

a = 4.6187 Å, b = 4.6187 Å, c = 3.6659 Å
α = 90.00°, β = 90.00°, γ = 120.00°
Last column: nearest neighbours and their distance in Å.
Sites, in units of the cell vectors:
Ag: 0.0000 0.0000 0.8340  3 Zn 2.67
Pb: 0.6667 0.3333 0.3336  6 Zn 3.23-3.24, 6 Ag 3.23-3.24
Zn: 0.3333 0.6667 0.8324  3 Ag 2.67


Entry 7:
DFT (GGA-PBE) results for an optimized crystal structure of ZnAg2Pb.

Properties
calculated volume = 20.357 Å³ per atom
DFT formation energy = 0.13 eV/atom
raw total energy = -0.094 Ha/atom
N(E_F) = 0.213 states/eV/atom
symmetry = No. 119

a = 5.3105 Å, b = 5.3105 Å, c = 5.3105 Å
α = 131.85°, β = 131.85°, γ = 70.47°
Last column: nearest neighbours and their distance in Å.
Sites, in units of the cell vectors:
Ag: 0.0000 0.0000 0.0000  4 Pb 3.06, 4 Zn 3.07, 4 Ag 3.07
Ag: 0.2500 0.7500 0.5000  4 Zn 3.06, 4 Pb 3.07, 4 Ag 3.07
Pb: 0.5000 0.5000 0.0000  8 Ag 3.06-3.07, 4 Zn 3.07
Zn: 0.7500 0.2500 0.5000  8 Ag 3.06-3.07, 4 Pb 3.07


Entry 8:
DFT (GGA-PBE) results for an optimized crystal structure of ZnAgPb.

Properties
calculated volume = 22.100 Å³ per atom
DFT formation energy = 0.16 eV/atom
raw total energy = -0.090 Ha/atom
N(E_F) = 0.348 states/eV/atom
symmetry = No. 156

a = 3.3640 Å, b = 3.3640 Å, c = 6.7654 Å
α = 90.00°, β = 90.00°, γ = 120.00°
Last column: nearest neighbours and their distance in Å.
Sites, in units of the cell vectors:
Ag: 0.0000 0.0000 0.9703  3 Zn 2.70
Pb: 0.6667 0.3333 0.3364  3 Zn 3.10, 3 Ag 3.15, 6 Pb 3.36
Zn: 0.3333 0.6667 0.6933  3 Ag 2.70


Entry 9:
DFT (GGA-PBE) results for an optimized crystal structure of Zn2AgPb.

Properties
calculated volume = 20.795 Å³ per atom
DFT formation energy = 0.12 eV/atom
raw total energy = -0.079 Ha/atom
N(E_F) = 0.338 states/eV/atom
symmetry = No. 12

a = 4.8475 Å, b = 4.8475 Å, c = 5.3391 Å
α = 78.13°, β = 78.13°, γ = 42.83°
Last column: nearest neighbours and their distance in Å.
Sites, in units of the cell vectors:
Ag: 0.7500 0.7500 0.7500  6 Zn 2.77-2.79
Pb: 0.2500 0.2500 0.2500  6 Zn 2.99-3.12, 4 Ag 3.20
Zn: 0.0121 0.0121 0.9379  2 Zn 2.72, 3 Ag 2.77-2.79, 1 Pb 2.99
Zn: 0.4879 0.4879 0.5621  2 Zn 2.72, 3 Ag 2.77-2.79, 1 Pb 2.99


Entry 10:
DFT (GGA-PBE) results for an optimized crystal structure of Zn2AgPb.

Properties
calculated volume = 20.911 Å³ per atom
DFT formation energy = 0.17 eV/atom
raw total energy = -0.077 Ha/atom
N(E_F) = 0.366 states/eV/atom
symmetry = No. 160

a = 3.2838 Å, b = 3.2838 Å, c = 9.1548 Å
α = 79.67°, β = 79.67°, γ = 60.00°
Last column: nearest neighbours and their distance in Å.
Sites, in units of the cell vectors:
Zn: 0.0728 0.0728 0.7815  3 Ag 2.73
Zn: 0.2600 0.2600 0.2201  3 Ag 2.73
Ag: 0.6662 0.6662 0.0013  6 Zn 2.73
Pb: 0.5009 0.5009 0.4972  6 Zn 3.12-3.17, 6 Pb 3.28


Entry 11:
DFT (GGA-PBE) results for an optimized crystal structure of Zn2AgPb.

Properties
calculated volume = 21.664 Å³ per atom
DFT formation energy = 0.13 eV/atom
raw total energy = -0.079 Ha/atom
N(E_F) = 0.275 states/eV/atom
symmetry = No. 6

a = 4.5910 Å, b = 3.5568 Å, c = 5.3171 Å
α = 86.44°, β = 90.00°, γ = 90.00°
Last column: nearest neighbours and their distance in Å.
Sites, in units of the cell vectors:
Ag: 0.0000 0.2670 0.5038  4 Zn 2.64-2.69
Pb: 0.5000 0.7564 0.7458  8 Zn 3.08-3.31, 4 Ag 3.15-3.20
Zn: 0.0000 0.2179 0.0104  2 Zn 2.61, 2 Ag 2.64-2.69
Zn: 0.5000 0.2586 0.2400  2 Zn 2.61, 2 Ag 2.69


Entry 12:
DFT (GGA-PBE) results for an optimized crystal structure of ZnAg2Pb.

Properties
calculated volume = 20.857 Å³ per atom
DFT formation energy = 0.15 eV/atom
raw total energy = -0.093 Ha/atom
N(E_F) = 0.271 states/eV/atom
symmetry = No. 65

a = 4.9020 Å, b = 4.9020 Å, c = 3.6053 Å
α = 90.00°, β = 90.00°, γ = 105.64°
Last column: nearest neighbours and their distance in Å.
Sites, in units of the cell vectors:
Ag: 0.0000 0.0000 0.0000  2 Ag 2.96, 4 Pb 3.04, 4 Zn 3.04
Ag: 0.5000 0.5000 0.0000  2 Ag 2.96, 4 Zn 3.04, 4 Pb 3.04
Pb: 0.5000 0.0000 0.5000  2 Zn 2.96, 8 Ag 3.04
Zn: 0.0000 0.5000 0.5000  2 Pb 2.96, 8 Ag 3.04


Entry 13:
DFT (GGA-PBE) results for an optimized crystal structure of ZnAg2Pb.

Properties
calculated volume = 20.674 Å³ per atom
DFT formation energy = 0.09 eV/atom
raw total energy = -0.095 Ha/atom
N(E_F) = 0.503 states/eV/atom
symmetry = No. 99

a = 3.4454 Å, b = 3.4454 Å, c = 6.9666 Å
α = 90.00°, β = 90.00°, γ = 90.00°
Last column: nearest neighbours and their distance in Å.
Sites, in units of the cell vectors:
Ag: 0.0000 0.0000 0.9841  4 Zn 2.74, 4 Ag 2.91
Ag: 0.5000 0.5000 0.2120  1 Zn 2.85, 4 Ag 2.91, 4 Pb 3.16
Pb: 0.0000 0.0000 0.5008  5 Ag 3.16-3.37, 4 Zn 3.22, 4 Pb 3.45
Zn: 0.5000 0.5000 0.8031  5 Ag 2.74-2.85


Entry 14:
DFT (GGA-PBE) results for an optimized crystal structure of ZnAgPb.

Properties
calculated volume = 21.782 Å³ per atom
DFT formation energy = 0.11 eV/atom
raw total energy = -0.092 Ha/atom
N(E_F) = 0.223 states/eV/atom
symmetry = No. 44

a = 6.0309 Å, b = 6.0309 Å, c = 6.0309 Å
α = 146.94°, β = 146.75°, γ = 47.59°
Last column: nearest neighbours and their distance in Å.
Sites, in units of the cell vectors:
Ag: 0.9731 0.9731 0.0000  4 Zn 2.74
Pb: 0.6678 0.6678 0.0000  5 Zn 3.22-3.41, 5 Ag 3.25-3.37, 4 Pb 3.43-3.45
Zn: 0.3591 0.3591 0.0000  4 Ag 2.74


Entry 15:
DFT (GGA-PBE) results for an optimized crystal structure of Zn2AgPb.

Properties
calculated volume = 20.427 Å³ per atom
DFT formation energy = 0.20 eV/atom
raw total energy = -0.076 Ha/atom
N(E_F) = 0.496 states/eV/atom
symmetry = No. 65

a = 5.1062 Å, b = 5.1062 Å, c = 3.3507 Å
α = 90.00°, β = 90.00°, γ = 110.73°
Last column: nearest neighbours and their distance in Å.
Sites, in units of the cell vectors:
Ag: 0.5000 0.0000 0.5000  2 Pb 2.90, 8 Zn 3.05
Pb: 0.0000 0.5000 0.5000  2 Ag 2.90, 8 Zn 3.05
Zn: 0.0000 0.0000 0.0000  2 Zn 2.90, 4 Pb 3.05, 4 Ag 3.05
Zn: 0.5000 0.5000 0.0000  2 Zn 2.90, 4 Ag 3.05, 4 Pb 3.05


Entry 16:
DFT (GGA-PBE) results for an optimized crystal structure of Zn2AgPb.

Properties
calculated volume = 20.903 Å³ per atom
DFT formation energy = 0.14 eV/atom
raw total energy = -0.078 Ha/atom
N(E_F) = 0.595 states/eV/atom
symmetry = No. 160

a = 8.9976 Å, b = 8.9976 Å, c = 8.9976 Å
α = 21.22°, β = 21.22°, γ = 21.22°
Last column: nearest neighbours and their distance in Å.
Sites, in units of the cell vectors:
Ag: 0.5123 0.5123 0.5123  3 Zn 2.72
Pb: 0.7504 0.7504 0.7504  3 Ag 3.16, 3 Zn 3.23, 6 Pb 3.31
Zn: 0.9850 0.9850 0.9850  3 Zn 2.59
Zn: 0.2523 0.2523 0.2523  3 Zn 2.59, 3 Ag 2.72


Entry 17:
DFT (GGA-PBE) results for an optimized crystal structure of ZnAgPb3.

Properties
calculated volume = 33.712 Å³ per atom
DFT formation energy = 0.49 eV/atom
raw total energy = -0.094 Ha/atom
N(E_F) = 0.669 states/eV/atom
symmetry = No. 221

a = 5.5240 Å, b = 5.5240 Å, c = 5.5240 Å
α = 90.00°, β = 90.00°, γ = 90.00°
Last column: nearest neighbours and their distance in Å.
Sites, in units of the cell vectors:
Pb: 0.0000 0.5000 0.0000  2 Ag 2.76
Pb: 0.0000 0.0000 0.5000  2 Ag 2.76
Pb: 0.5000 0.0000 0.0000  2 Ag 2.76
Zn: 0.5000 0.5000 0.5000  12 Pb 3.91
Ag: 0.0000 0.0000 0.0000  6 Pb 2.76


Entry 18:
DFT (GGA-PBE) results for an optimized crystal structure of ZnAg2Pb.

Properties
calculated volume = 20.552 Å³ per atom
DFT formation energy = 0.12 eV/atom
raw total energy = -0.094 Ha/atom
N(E_F) = 0.330 states/eV/atom
symmetry = No. 71

a = 5.7814 Å, b = 5.7814 Å, c = 5.7814 Å
α = 147.59°, β = 126.65°, γ = 63.82°
Last column: nearest neighbours and their distance in Å.
Sites, in units of the cell vectors:
Ag: 0.0263 0.0263 0.0000  2 Zn 2.72
Ag: 0.4737 0.4737 0.0000  2 Zn 2.72
Pb: 0.7500 0.2500 0.5000  4 Zn 3.06, 8 Ag 3.16-3.40, 2 Pb 3.23
Zn: 0.2500 0.7500 0.5000  4 Ag 2.72


Entry 19:
DFT (GGA-PBE) results for an optimized crystal structure of ZnAg2Pb.

Properties
calculated volume = 20.901 Å³ per atom
DFT formation energy = 0.11 eV/atom
raw total energy = -0.094 Ha/atom
N(E_F) = 0.156 states/eV/atom
symmetry = No. 6

a = 4.5981 Å, b = 3.2425 Å, c = 6.0054 Å
α = 69.03°, β = 90.00°, γ = 90.00°
Last column: nearest neighbours and their distance in Å.
Sites, in units of the cell vectors:
Ag: 0.0000 0.7830 0.0196  2 Zn 2.70, 1 Pb 2.92, 4 Ag 2.96
Ag: 0.5000 0.1760 0.1813  2 Zn 2.80-2.87, 4 Ag 2.96
Pb: 0.0000 0.6106 0.5321  5 Ag 2.92-3.21, 4 Zn 3.07-3.15, 2 Pb 3.24
Zn: 0.5000 0.9303 0.7670  4 Ag 2.70-2.87


Entry 20:
DFT (GGA-PBE) results for an optimized crystal structure of ZnAg2Pb.

Properties
calculated volume = 20.785 Å³ per atom
DFT formation energy = 0.19 eV/atom
raw total energy = -0.091 Ha/atom
N(E_F) = 0.201 states/eV/atom
symmetry = No. 12

a = 5.5064 Å, b = 5.6847 Å, c = 3.1457 Å
α = 78.38°, β = 81.07°, γ = 116.19°
Last column: nearest neighbours and their distance in Å.
Sites, in units of the cell vectors:
Ag: 0.0000 0.0000 0.0000  4 Ag 2.95-3.15, 2 Zn 2.96, 2 Pb 2.96
Ag: 0.5000 0.0000 0.5000  4 Ag 2.95-3.15, 2 Pb 2.96, 2 Zn 2.96
Pb: 0.0000 0.5000 0.5000  2 Zn 2.95, 4 Ag 2.96, 2 Pb 3.15
Zn: 0.5000 0.5000 0.0000  2 Pb 2.95, 4 Ag 2.96, 2 Zn 3.15